1.
# LiCoPO, relaxed, DFT GGA+U
data_LiCoPO
_chemical_formula_sum 'Li2 Co2 P2 O2'
_cell_length_a 3.640
_cell_length_b 3.640
_cell_length_c 6.209
_cell_angle_alpha 90.00
_cell_angle_beta 90.00
_cell_angle_gamma 90.00
_space_group_name_H-M_alt 'P 4/n m m'
_space_group_IT_number 129
loop_
_space_group_symop_operation_xyz
'x,y,z'
'-x,-y,-z'
'-y+1/2,x,z'
'y+1/2,-x,-z'
'-x+1/2,-y+1/2,z'
'x+1/2,y+1/2,-z'
'y,-x+1/2,z'
'-y,x+1/2,-z'
'x+1/2,-y,-z'
'-x+1/2,y,z'
'-y,-x,-z'
'y,x,z'
'-x,y+1/2,-z'
'x,-y+1/2,z'
'y+1/2,x+1/2,-z'
'-y+1/2,-x+1/2,z'
loop_
_atom_site_label
_atom_site_fract_x
_atom_site_fract_y
_atom_site_fract_z
Li1 0.250 0.250 0.105
Co1 0.250 0.750 0.500
P1 0.250 0.250 0.689
O1 0.250 0.750 0.000
# V = 10.28 Å³ per atom
# Energy above the most stable polymorph in this dataset = 309 meV per atom
# VASP energy = -4.6758 eV per atom

---

2.
# LiCoPO, relaxed, DFT GGA+U
data_LiCoPO
_chemical_formula_sum 'Li2 Co2 P2 O2'
_cell_length_a 2.924
_cell_length_b 6.812
_cell_length_c 5.411
_cell_angle_alpha 90.00
_cell_angle_beta 90.00
_cell_angle_gamma 90.00
_space_group_name_H-M_alt 'P m c 21'
_space_group_IT_number 26
loop_
_space_group_symop_operation_xyz
'x,y,z'
'-x,-y,z+1/2'
'-x,y,z'
'x,-y,z+1/2'
loop_
_atom_site_label
_atom_site_fract_x
_atom_site_fract_y
_atom_site_fract_z
Li1 0.000 0.095 0.000
Co1 0.500 0.305 0.416
P1 0.500 0.380 0.814
O1 0.000 0.143 0.336
# V = 13.47 Å³ per atom
# Energy above the most stable polymorph in this dataset = 21 meV per atom
# VASP energy = -4.9640 eV per atom

---

3.
# LiPrCoO3, relaxed, DFT GGA+U
data_LiPrCoO3
_chemical_formula_sum 'Li4 Pr4 Co4 O12'
_cell_length_a 3.515
_cell_length_b 13.023
_cell_length_c 6.406
_cell_angle_alpha 90.00
_cell_angle_beta 90.00
_cell_angle_gamma 90.00
_space_group_name_H-M_alt 'C m c m'
_space_group_IT_number 63
_space_group_name_Hall '-C 2c 2'
loop_
_atom_site_label
_atom_site_fract_x
_atom_site_fract_y
_atom_site_fract_z
Li1 0.000 0.168 0.250
Pr1 0.000 0.500 0.000
Co1 0.000 0.202 0.750
O1 0.000 0.028 0.750
O2 0.000 0.326 0.542
# V = 12.22 Å³ per atom
# VASP energy = -6.1613 eV per atom

---

The highest VASP energy belongs to which entry?
number 1

---

VASP energy of number 2 (LiCoPO)?
-4.9640 eV per atom

---

Which of these has the highest V?
number 2

---

Among the records above, which one has the lowest VASP energy?
LiPrCoO3